# KSc2P

An optimized crystal structure of KSc2P (PBE-GGA, the Alexandria database).

Values from the calculation:
- energy of formation from the pure elements (eV per atom) = -0.405
- uncorrected energy (Ry/atom) = -0.382

Cell lengths 3.607, 3.607, 8.598 Å; angles 90.00, 90.00, 90.00 degrees
Space group P4mm (No. 99)
Inequivalent atoms, fractional coordinates:
K1 0.000 0.000 0.000 [1 per cell]
Sc1 0.000 0.000 0.385 [1 per cell]
Sc2 0.500 0.500 0.613 [1 per cell]
P1 0.500 0.500 0.302 [1 per cell]



# KSc2P

An optimized crystal structure of KSc2P (PBE-GGA, the Alexandria database).

Values from the calculation:
- energy of formation from the pure elements (eV per atom) = -0.288
- uncorrected energy (Ry/atom) = -0.373

Cell lengths 4.736, 4.781, 9.797 Å; angles 90.00, 90.00, 90.00 degrees
Space group Cmmm (No. 65)
Inequivalent atoms, fractional coordinates:
K1 0.000 0.000 0.000 [2 per cell]
Sc1 0.000 0.500 0.356 [4 per cell]
P1 0.000 0.000 0.500 [2 per cell]



# KSc2P

An optimized crystal structure of KSc2P (PBE-GGA, the Alexandria database).

Values from the calculation:
- energy of formation from the pure elements (eV per atom) = -0.304
- uncorrected energy (Ry/atom) = -0.375

Cell lengths 3.518, 3.845, 17.749 Å; angles 90.00, 90.00, 90.00 degrees
Space group Imm2 (No. 44)
Inequivalent atoms, fractional coordinates:
K1 0.000 0.000 0.000 [2 per cell]
Sc1 0.000 0.000 0.321 [2 per cell]
Sc2 0.000 0.500 0.186 [2 per cell]
P1 0.000 0.500 0.701 [2 per cell]



# KScP2

An optimized crystal structure of KScP2 (PBE-GGA, the Alexandria database).

Values from the calculation:
- energy of formation from the pure elements (eV per atom) = -0.193
- uncorrected energy (Ry/atom) = -0.350
- energy above the lowest structure with this stoichiometry (kJ/mol of formula units) = 207.2

Cell lengths 4.612, 4.628, 7.630 Å; angles 90.00, 90.00, 90.00 degrees
Space group Immm (No. 71)
Inequivalent atoms, fractional coordinates:
K1 0.000 0.000 0.000 [2 per cell]
Sc1 0.000 0.000 0.500 [2 per cell]
P1 0.000 0.500 0.250 [4 per cell]



Which of these has the lowest uncorrected energy? number 1